1.
## Tm2NpPbO8 (PBE)

Data for Tm2NpPbO8 after structural relaxation.

Computed properties:
- DOS at the Fermi energy (states/eV per cell) = 7.609
- calculated density (kg/m3) = 8671
- DFT total energy (eV per atom) = -8.10

Cell lengths 6.9342, 7.2502, 6.9330 Å; angles 90.00, 90.00, 90.00 degrees
Space group Cmmm (No. 65)
Unique sites:
Tm 0.0000 0.0000 0.2493 (multiplicity 4)
Np 0.0000 0.5000 0.5000 (multiplicity 2)
Pb 0.0000 0.5000 0.0000 (multiplicity 2)
O 0.0000 0.3096 0.2688 (multiplicity 8)
O 0.1994 0.0000 0.0000 (multiplicity 4)
O 0.2053 0.0000 0.5000 (multiplicity 4)


2.
## HgOs2Pb (PBE)

Data for HgOs2Pb after structural relaxation.

Computed properties:
- DOS at the Fermi energy (states/eV per cell) = 10.018
- energy above the lowest structure with this stoichiometry (eV/atom) = 0.730
- calculated density (kg/m3) = 17505
- DFT total energy (eV per atom) = -5.37

Cell lengths 3.0833, 5.2361, 9.2628 Å; angles 90.00, 90.00, 90.00 degrees
Space group Cmmm (No. 65)
Unique sites:
Hg 0.0000 0.0000 0.0000 (multiplicity 2)
Os 0.0000 0.5000 0.2539 (multiplicity 4)
Pb 0.0000 0.0000 0.5000 (multiplicity 2)


3.
## Tm3Pd6Pb (PBE)

Data for Tm3Pd6Pb after structural relaxation.

Computed properties:
- DOS at the Fermi energy (states/eV per cell) = 16.346
- calculated density (kg/m3) = 11122
- DFT total energy (eV per atom) = -5.50

Cell lengths 10.9391, 14.6550, 5.0384 Å; angles 90.00, 90.00, 90.00 degrees
Space group Cmc2_1 (No. 36)
Unique sites:
Tm 0.0000 0.1120 0.0000 (multiplicity 4)
Tm 0.1905 0.3969 0.4139 (multiplicity 8)
Pd 0.0000 0.2283 0.4748 (multiplicity 4)
Pd 0.0000 0.4927 0.6857 (multiplicity 4)
Pd 0.1360 0.0502 0.4953 (multiplicity 8)
Pd 0.2475 0.2905 0.8731 (multiplicity 8)
Pb 0.0000 0.3265 0.9559 (multiplicity 4)


4.
## LaZnOs2 (PBE)

Data for LaZnOs2 after structural relaxation.

Computed properties:
- DOS at the Fermi energy (states/eV per cell) = 18.402
- calculated density (kg/m3) = 10670
- DFT total energy (eV per atom) = -6.81

Cell lengths 4.5097, 4.5097, 17.8990 Å; angles 90.00, 90.00, 90.00 degrees
Space group I-42d (No. 122)
Unique sites:
La 0.0000 0.0000 0.0000 (multiplicity 4)
Zn 0.0000 0.0000 0.5000 (multiplicity 4)
Os 0.1013 0.2500 0.6250 (multiplicity 8)


5.
## Li2TeN (PBE)

Data for Li2TeN after structural relaxation.

Computed properties:
- DOS at the Fermi energy (states/eV per cell) = 8.983
- energy above the lowest structure with this stoichiometry (eV/atom) = 0.422
- calculated density (kg/m3) = 4284
- DFT total energy (eV per atom) = -3.44

Cell lengths 6.2236, 6.2236, 6.2236 Å; angles 90.00, 90.00, 90.00 degrees
Space group Fm-3m (No. 225)
Unique sites:
Li 0.2500 0.2500 0.2500 (multiplicity 8)
Te 0.0000 0.0000 0.0000 (multiplicity 4)
N 0.0000 0.0000 0.5000 (multiplicity 4)


6.
## Ca3ZnW (PBE)

Data for Ca3ZnW after structural relaxation.

Computed properties:
- DOS at the Fermi energy (states/eV per cell) = 4.816
- energy above the lowest structure with this stoichiometry (eV/atom) = 0.000
- calculated density (kg/m3) = 3596
- DFT total energy (eV per atom) = -3.02

Cell lengths 5.5464, 5.5464, 5.5464 Å; angles 90.00, 90.00, 90.00 degrees
Space group Pm-3m (No. 221)
Unique sites:
Ca 0.0000 0.0000 0.5000 (multiplicity 3)
Zn 0.5000 0.5000 0.5000 (multiplicity 1)
W 0.0000 0.0000 0.0000 (multiplicity 1)